# 1
Below is an optimized crystal structure of AlBIrCl2, with properties calculated at the PBE level.

a b c (Å): 4.840 4.840 4.858
angles (deg): 90.00 90.00 90.00
Sites, in units of the cell vectors:
Al 0.000 0.000 0.000
B 0.500 0.500 0.000
Ir 0.000 0.000 0.500
Cl 0.000 0.500 0.500
Cl 0.500 0.000 0.500

SG ... P4/mmm (123)
E_form (uncorrected) ... 1.08 eV/atom

=====

# 2
Below is an optimized crystal structure of NaAl2BCl, with properties calculated at the PBE level.

a b c (Å): 5.189 5.189 4.641
angles (deg): 90.00 90.00 90.00
Sites, in units of the cell vectors:
Na 0.000 0.000 0.000
Al 0.000 0.500 0.500
Al 0.500 0.000 0.500
B 0.500 0.500 0.000
Cl 0.500 0.500 0.500

SG ... P4/mmm (123)
E_form (uncorrected) ... 1.10 eV/atom

=====

# 3
Below is an optimized crystal structure of Al2NiBCl, with properties calculated at the PBE level.

a b c (Å): 4.387 4.387 3.894
angles (deg): 90.00 90.00 90.00
Sites, in units of the cell vectors:
Al 0.000 0.500 0.000
Al 0.500 0.000 0.000
Ni 0.000 0.000 0.500
B 0.000 0.000 0.000
Cl 0.500 0.500 0.500

SG ... P4/mmm (123)
E_form (uncorrected) ... 0.11 eV/atom

=====

# 4
Below is an optimized crystal structure of AlBPCl2, with properties calculated at the PBE level.

a b c (Å): 4.562 4.562 4.980
angles (deg): 90.00 90.00 90.00
Sites, in units of the cell vectors:
Al 0.000 0.000 0.000
B 0.500 0.500 0.500
P 0.000 0.000 0.500
Cl 0.000 0.500 0.000
Cl 0.500 0.000 0.000

SG ... P4/mmm (123)
E_form (uncorrected) ... 0.65 eV/atom
Distance to the lowest polymorph of the same formula ... 160 meV per atom

=====

# 5
Below is an optimized crystal structure of AlBPCl2, with properties calculated at the PBE level.

a b c (Å): 4.243 4.243 4.588
angles (deg): 90.00 90.00 90.00
Sites, in units of the cell vectors:
Al 0.000 0.000 0.000
B 0.500 0.500 0.500
P 0.500 0.500 0.000
Cl 0.000 0.500 0.500
Cl 0.500 0.000 0.500

SG ... P4/mmm (123)
E_form (uncorrected) ... 0.49 eV/atom
Distance to the lowest polymorph of the same formula ... 0 meV per atom

=====

# 6
Below is an optimized crystal structure of AlBP2Cl, with properties calculated at the PBE level.

a b c (Å): 4.130 4.130 4.559
angles (deg): 90.00 90.00 90.00
Sites, in units of the cell vectors:
Al 0.000 0.000 0.000
B 0.500 0.500 0.500
P 0.000 0.500 0.500
P 0.500 0.000 0.500
Cl 0.500 0.500 0.000

SG ... P4/mmm (123)
E_form (uncorrected) ... 0.69 eV/atom
Distance to the lowest polymorph of the same formula ... 0 meV per atom

=====

# 7
Below is an optimized crystal structure of AlBP2Cl, with properties calculated at the PBE level.

a b c (Å): 4.667 4.667 4.742
angles (deg): 90.00 90.00 90.00
Sites, in units of the cell vectors:
Al 0.000 0.000 0.000
B 0.500 0.500 0.500
P 0.000 0.500 0.000
P 0.500 0.000 0.000
Cl 0.000 0.000 0.500

SG ... P4/mmm (123)
E_form (uncorrected) ... 1.19 eV/atom
Distance to the lowest polymorph of the same formula ... 493 meV per atom

=====

# 8
Below is an optimized crystal structure of AlB2PtCl, with properties calculated at the PBE level.

a b c (Å): 4.013 4.013 7.651
angles (deg): 90.00 90.00 90.00
Sites, in units of the cell vectors:
Al 0.000 0.000 0.000
B 0.000 0.500 0.500
B 0.500 0.000 0.500
Pt 0.500 0.500 0.500
Cl 0.500 0.500 0.000

SG ... P4/mmm (123)
E_form (uncorrected) ... 0.59 eV/atom

=====

# 9
Below is an optimized crystal structure of Rb2AlBCl6, with properties calculated at the PBE level.

a b c (Å): 7.101 7.101 7.101
angles (deg): 120.05 120.05 89.91
Sites, in units of the cell vectors:
Rb 0.250 0.750 0.500
Rb 0.750 0.250 0.500
Al 0.000 0.000 0.000
B 0.500 0.500 0.000
Cl 0.235 0.235 0.000
Cl 0.236 0.236 0.471
Cl 0.236 0.764 0.000
Cl 0.764 0.236 0.000
Cl 0.764 0.764 0.529
Cl 0.765 0.765 0.000

SG ... I4/mmm (139)
E_form (uncorrected) ... -1.10 eV/atom

=====

# 10
Below is an optimized crystal structure of AlBSCl2, with properties calculated at the PBE level.

a b c (Å): 4.308 4.308 4.450
angles (deg): 90.00 90.00 90.00
Sites, in units of the cell vectors:
Al 0.000 0.000 0.000
B 0.500 0.500 0.500
S 0.500 0.500 0.000
Cl 0.000 0.500 0.500
Cl 0.500 0.000 0.500

SG ... P4/mmm (123)
E_form (uncorrected) ... 0.28 eV/atom
Distance to the lowest polymorph of the same formula ... 0 meV per atom

=====

# 11
Below is an optimized crystal structure of AlBS2Cl, with properties calculated at the PBE level.

a b c (Å): 4.244 4.244 4.291
angles (deg): 90.00 90.00 90.00
Sites, in units of the cell vectors:
Al 0.000 0.000 0.000
B 0.500 0.500 0.500
S 0.000 0.500 0.500
S 0.500 0.000 0.500
Cl 0.500 0.500 0.000

SG ... P4/mmm (123)
E_form (uncorrected) ... 0.38 eV/atom
Distance to the lowest polymorph of the same formula ... 0 meV per atom

=====

# 12
Below is an optimized crystal structure of AlBSCl2, with properties calculated at the PBE level.

a b c (Å): 4.667 4.667 4.705
angles (deg): 90.00 90.00 90.00
Sites, in units of the cell vectors:
Al 0.000 0.000 0.000
B 0.500 0.500 0.500
S 0.000 0.000 0.500
Cl 0.000 0.500 0.000
Cl 0.500 0.000 0.000

SG ... P4/mmm (123)
E_form (uncorrected) ... 0.29 eV/atom
Distance to the lowest polymorph of the same formula ... 6 meV per atom

=====

# 13
Below is an optimized crystal structure of AlBS2Cl, with properties calculated at the PBE level.

a b c (Å): 4.609 4.609 4.739
angles (deg): 90.00 90.00 90.00
Sites, in units of the cell vectors:
Al 0.000 0.000 0.000
B 0.500 0.500 0.500
S 0.000 0.500 0.000
S 0.500 0.000 0.000
Cl 0.000 0.000 0.500

SG ... P4/mmm (123)
E_form (uncorrected) ... 0.60 eV/atom
Distance to the lowest polymorph of the same formula ... 216 meV per atom

=====

# 14
Below is an optimized crystal structure of AlSiB2Cl, with properties calculated at the PBE level.

a b c (Å): 4.136 4.136 5.417
angles (deg): 90.00 90.00 90.00
Sites, in units of the cell vectors:
Al 0.000 0.000 0.000
Si 0.000 0.000 0.500
B 0.000 0.500 0.000
B 0.500 0.000 0.000
Cl 0.500 0.500 0.500

SG ... P4/mmm (123)
E_form (uncorrected) ... 1.38 eV/atom

=====

# 15
Below is an optimized crystal structure of Sr2AlBCl, with properties calculated at the PBE level.

a b c (Å): 5.722 5.722 4.579
angles (deg): 90.00 90.00 90.00
Sites, in units of the cell vectors:
Sr 0.000 0.500 0.000
Sr 0.500 0.000 0.000
Al 0.000 0.000 0.500
B 0.500 0.500 0.000
Cl 0.500 0.500 0.500

SG ... P4/mmm (123)
E_form (uncorrected) ... 0.39 eV/atom

=====

# 16
Below is an optimized crystal structure of Al3CoB, with properties calculated at the PBE level.

a b c (Å): 4.408 4.408 4.408
angles (deg): 90.00 90.00 90.00
Sites, in units of the cell vectors:
Al 0.000 0.000 0.500
Al 0.000 0.500 0.000
Al 0.500 0.000 0.000
Co 0.000 0.000 0.000
B 0.500 0.500 0.500

SG ... Pm-3m (221)
Distance to the lowest polymorph of the same formula ... 313 meV per atom
ΔE_f ... 3.5 eV per formula unit

=====

# 17
Below is an optimized crystal structure of AlCoB3, with properties calculated at the PBE level.

a b c (Å): 4.004 4.004 4.004
angles (deg): 90.00 90.00 90.00
Sites, in units of the cell vectors:
Al 0.000 0.000 0.000
Co 0.500 0.500 0.500
B 0.000 0.000 0.500
B 0.000 0.500 0.000
B 0.500 0.000 0.000

SG ... Pm-3m (221)
Distance to the lowest polymorph of the same formula ... 1232 meV per atom
ΔE_f ... 10.7 eV per formula unit

=====

# 18
Below is an optimized crystal structure of AlCoB6, with properties calculated at the PBE level.

a b c (Å): 3.459 3.459 6.304
angles (deg): 90.00 90.00 119.08
Sites, in units of the cell vectors:
Al 0.000 0.000 0.000
Co 0.000 0.000 0.500
B 0.000 0.500 0.268
B 0.000 0.500 0.732
B 0.500 0.000 0.268
B 0.500 0.000 0.732
B 0.500 0.500 0.336
B 0.500 0.500 0.664

SG ... Cmmm (65)
ΔE_f ... 1.7 eV per formula unit

=====

# 19
Below is an optimized crystal structure of Al20Co3B6, with properties calculated at the PBE level.

a b c (Å): 8.072 8.072 8.072
angles (deg): 60.00 60.00 60.00
Sites, in units of the cell vectors:
Al 0.000 0.000 0.336
Al 0.000 0.000 0.664
Al 0.000 0.336 0.000
Al 0.000 0.336 0.664
Al 0.000 0.664 0.000
Al 0.000 0.664 0.336
Al 0.130 0.623 0.623
Al 0.336 0.000 0.000
Al 0.336 0.000 0.664
Al 0.336 0.664 0.000
Al 0.377 0.377 0.377
Al 0.377 0.377 0.870
Al 0.377 0.870 0.377
Al 0.623 0.130 0.623
Al 0.623 0.623 0.130
Al 0.623 0.623 0.623
Al 0.664 0.000 0.000
Al 0.664 0.000 0.336
Al 0.664 0.336 0.000
Al 0.870 0.377 0.377
Co 0.000 0.000 0.000
Co 0.250 0.250 0.250
Co 0.750 0.750 0.750
B 0.283 0.283 0.717
B 0.283 0.717 0.283
B 0.283 0.717 0.717
B 0.717 0.283 0.283
B 0.717 0.283 0.717
B 0.717 0.717 0.283

SG ... Fm-3m (225)
ΔE_f ... 2.8 eV per formula unit

=====

# 20
Below is an optimized crystal structure of AlCoB4, with properties calculated at the PBE level.

a b c (Å): 5.916 10.624 3.153
angles (deg): 90.00 90.00 90.00
Sites, in units of the cell vectors:
Al 0.099 0.146 0.000
Al 0.401 0.646 0.000
Al 0.599 0.354 0.000
Al 0.901 0.854 0.000
Co 0.153 0.409 0.000
Co 0.347 0.909 0.000
Co 0.653 0.091 0.000
Co 0.847 0.591 0.000
B 0.017 0.296 0.500
B 0.108 0.559 0.500
B 0.139 0.982 0.500
B 0.193 0.813 0.500
B 0.307 0.313 0.500
B 0.361 0.482 0.500
B 0.392 0.059 0.500
B 0.483 0.796 0.500
B 0.517 0.204 0.500
B 0.608 0.941 0.500
B 0.639 0.518 0.500
B 0.693 0.687 0.500
B 0.807 0.187 0.500
B 0.861 0.018 0.500
B 0.892 0.441 0.500
B 0.983 0.704 0.500

SG ... Pbam (55)
ΔE_f ... -0.2 eV per formula unit

=====

Number 1: total DFT energy (no corrections) -17.6 eV/cell. Number 2: total DFT energy (no corrections) -11.8 eV/cell. Number 3: total DFT energy (no corrections) -21.2 eV/cell. Number 4: total DFT energy (no corrections) -16.3 eV/cell. Number 5: total DFT energy (no corrections) -17.1 eV/cell. Number 6: total DFT energy (no corrections) -19.6 eV/cell. Number 7: total DFT energy (no corrections) -17.2 eV/cell. Number 8: total DFT energy (no corrections) -22.0 eV/cell. Number 9: total DFT energy (no corrections) -34.4 eV/cell. Number 10: total DFT energy (no corrections) -16.8 eV/cell. Number 11: total DFT energy (no corrections) -18.6 eV/cell. Number 12: total DFT energy (no corrections) -16.8 eV/cell. Number 13: total DFT energy (no corrections) -17.5 eV/cell. Number 14: total DFT energy (no corrections) -17.5 eV/cell. Number 15: total DFT energy (no corrections) -13.7 eV/cell. Number 16: total DFT energy (no corrections) -21.5 eV/cell. Number 17: total DFT energy (no corrections) -20.2 eV/cell. Number 18: total DFT energy (no corrections) -49.2 eV/cell. Number 19: total DFT energy (no corrections) -133.5 eV/cell. Number 20: total DFT energy (no corrections) -151.1 eV/cell.